Compound: SrFe2Rh
Source: the Alexandria database
Functional: GGA-PBE
Structure: relaxed

Geometry as POSCAR:
```
SrFe2Rh
1.0
-1.569 1.156 -2.527
-2.633 0.310 1.777
1.989 6.618 1.793
Rh Sr Fe
1 1 2
Direct
0.000 0.000 0.431 Rh
0.500 0.500 0.745 Sr
0.500 0.500 0.241 Fe
0.000 0.000 0.083 Fe
```

Computed properties:
E_tot   -6.19 eV/atom
Formation energy from the elements   303 meV per atom
SG   P4mm, No. 99


Compound: SrFeRh
Source: the Alexandria database
Functional: GGA-PBE
Structure: relaxed

Geometry as POSCAR:
```
SrFeRh
1.0
4.661 0.000 0.000
2.331 4.037 0.000
2.331 1.346 3.806
Rh Fe Sr
1 1 1
Direct
0.500 0.500 0.500 Rh
0.000 0.000 0.000 Fe
0.750 0.750 0.750 Sr
```

Computed properties:
E_tot   -4.58 eV/atom
Formation energy from the elements   1257 meV per atom
SG   F-43m, No. 216


Compound: Sr4FeRh
Source: the Alexandria database
Functional: GGA-PBE
Structure: relaxed

Geometry as POSCAR:
```
Sr4FeRh
1.0
0.000 4.688 4.688
4.688 0.000 4.688
4.688 4.688 0.000
Rh Sr Fe
1 4 1
Direct
0.000 0.000 0.000 Rh
0.375 0.876 0.375 Sr
0.375 0.375 0.375 Sr
0.876 0.375 0.375 Sr
0.375 0.375 0.876 Sr
0.750 0.750 0.750 Fe
```

Computed properties:
E_tot   -2.58 eV/atom
Formation energy from the elements   1179 meV per atom
SG   F-43m, No. 216


Compound: SrFe3Rh
Source: the Alexandria database
Functional: GGA-PBE
Structure: relaxed

Geometry as POSCAR:
```
SrFe3Rh
1.0
-0.744 0.255 4.691
4.654 -0.611 0.771
0.644 4.710 -0.154
Fe Rh Sr
3 1 1
Direct
0.500 0.000 0.000 Fe
0.000 0.500 0.000 Fe
0.000 0.000 0.500 Fe
0.000 0.000 0.000 Rh
0.500 0.500 0.500 Sr
```

Computed properties:
E_tot   -6.19 eV/atom
Formation energy from the elements   691 meV per atom
SG   Pm-3m, No. 221


Compound: SrFe2Rh
Source: the Alexandria database
Functional: GGA-PBE
Structure: relaxed

Geometry as POSCAR:
```
SrFe2Rh
1.0
-1.097 0.650 3.084
-2.667 -1.932 -0.542
3.463 -5.447 2.380
Sr Rh Fe
1 1 2
Direct
0.500 0.500 0.750 Sr
0.500 0.500 0.250 Rh
0.000 0.000 0.088 Fe
0.000 0.000 0.412 Fe
```

Computed properties:
E_tot   -6.09 eV/atom
Formation energy from the elements   403 meV per atom
SG   P4/mmm, No. 123


Compound: SrFeRh2
Source: the Alexandria database
Functional: GGA-PBE
Structure: relaxed

Geometry as POSCAR:
```
SrFeRh2
1.0
-2.974 2.894 2.479
-3.221 -3.590 0.328
0.338 -2.792 8.379
Sr Rh Fe
2 4 2
Direct
0.000 0.000 0.000 Sr
0.750 0.250 0.500 Sr
0.300 0.625 0.250 Rh
0.875 0.700 0.750 Rh
0.375 0.550 0.750 Rh
0.450 0.125 0.250 Rh
0.250 0.750 0.500 Fe
0.500 0.500 0.000 Fe
```

Computed properties:
E_tot   -5.84 eV/atom
Formation energy from the elements   372 meV per atom
SG   I-42d, No. 122


Compound: SrFe2Rh
Source: the Alexandria database
Functional: GGA-PBE
Structure: relaxed

Geometry as POSCAR:
```
SrFe2Rh
1.0
4.218 0.000 0.000
0.000 3.070 0.020
0.000 1.536 6.046
Fe Sr Rh
2 1 1
Direct
0.000 0.468 0.409 Fe
0.000 0.032 0.091 Fe
0.500 0.750 0.750 Sr
0.500 0.250 0.250 Rh
```

Computed properties:
E_tot   -6.09 eV/atom
Formation energy from the elements   402 meV per atom
SG   P2/m, No. 10


Compound: Sr2FeRh2
Source: the Alexandria database
Functional: GGA-PBE
Structure: relaxed

Geometry as POSCAR:
```
Sr2FeRh2
1.0
6.825 0.000 0.000
0.000 6.825 0.000
0.000 0.000 4.776
Sr Rh Fe
4 4 2
Direct
0.823 0.323 0.500 Sr
0.323 0.177 0.500 Sr
0.677 0.823 0.500 Sr
0.177 0.677 0.500 Sr
0.637 0.137 0.000 Rh
0.137 0.363 0.000 Rh
0.863 0.637 0.000 Rh
0.363 0.863 0.000 Rh
0.500 0.500 0.000 Fe
0.000 0.000 0.000 Fe
```

Computed properties:
E_tot   -5.28 eV/atom
Formation energy from the elements   25 meV per atom
SG   P4/mbm, No. 127


Compound: SrFeRh
Source: the Alexandria database
Functional: GGA-PBE
Structure: relaxed

Geometry as POSCAR:
```
SrFeRh
1.0
-2.268 0.024 3.709
1.522 -3.959 0.956
5.601 2.975 3.405
Sr Fe Rh
2 2 2
Direct
0.000 0.500 0.831 Sr
0.500 0.000 0.169 Sr
0.000 0.000 0.500 Fe
0.500 0.500 0.500 Fe
0.500 0.000 0.671 Rh
0.000 0.500 0.329 Rh
```

Computed properties:
E_tot   -5.84 eV/atom
Formation energy from the elements   -12 meV per atom
SG   P4/nmm, No. 129


Compound: SrFe2Rh
Source: the Alexandria database
Functional: GGA-PBE
Structure: relaxed

Geometry as POSCAR:
```
SrFe2Rh
1.0
-5.335 0.339 -2.100
-4.477 -1.372 3.325
4.558 3.343 -1.017
Fe Rh Sr
2 1 1
Direct
0.965 0.965 0.000 Fe
0.535 0.535 0.000 Fe
0.750 0.250 0.500 Rh
0.250 0.750 0.500 Sr
```

Computed properties:
E_tot   -6.01 eV/atom
Formation energy from the elements   482 meV per atom
SG   Immm, No. 71


Compound: SrFeRh2
Source: the Alexandria database
Functional: GGA-PBE
Structure: relaxed

Geometry as POSCAR:
```
SrFeRh2
1.0
3.286 0.000 0.000
0.000 4.662 0.000
0.000 0.000 4.662
Sr Rh Fe
1 2 1
Direct
0.500 0.500 0.000 Sr
0.000 0.500 0.500 Rh
0.000 0.000 0.000 Rh
0.500 0.000 0.500 Fe
```

Computed properties:
E_tot   -5.93 eV/atom
Formation energy from the elements   281 meV per atom
SG   P4/mmm, No. 123


Compound: SrFe2Rh
Source: the Alexandria database
Functional: GGA-PBE
Structure: relaxed

Geometry as POSCAR:
```
SrFe2Rh
1.0
-1.802 0.517 3.815
0.846 -2.734 3.142
3.825 2.317 3.860
Rh Sr Fe
1 1 2
Direct
0.750 0.750 0.750 Rh
0.250 0.250 0.250 Sr
0.443 0.443 0.672 Fe
0.057 0.057 0.828 Fe
```

Computed properties:
E_tot   -6.33 eV/atom
Formation energy from the elements   159 meV per atom
SG   R-3m, No. 166


Compound: SrV2FeRh
Source: the Alexandria database
Functional: GGA-PBE
Structure: relaxed

Geometry as POSCAR:
```
SrV2FeRh
1.0
4.633 0.000 0.000
0.000 4.633 0.000
0.000 0.000 5.543
V Rh Fe Sr
2 1 1 1
Direct
0.000 0.500 0.000 V
0.500 0.000 0.000 V
0.000 0.000 0.000 Rh
0.500 0.500 0.500 Fe
0.000 0.000 0.500 Sr
```

Computed properties:
E_tot   -5.89 eV/atom
Formation energy from the elements   1259 meV per atom
SG   P4/mmm, No. 123


Compound: Sr2FeRhW
Source: the Alexandria database
Functional: GGA-PBE
Structure: relaxed

Geometry as POSCAR:
```
Sr2FeRhW
1.0
5.977 0.000 0.000
0.000 4.633 0.000
0.000 0.000 5.977
Rh W Sr Fe
1 1 2 1
Direct
0.000 0.500 0.000 Rh
0.000 0.000 0.000 W
0.500 0.000 0.000 Sr
0.000 0.000 0.500 Sr
0.500 0.500 0.500 Fe
```

Computed properties:
E_tot   -5.04 eV/atom
Formation energy from the elements   1386 meV per atom
SG   P4/mmm, No. 123


Compound: TaFeRh6
Source: the Alexandria database
Functional: GGA-PBE
Structure: relaxed

Geometry as POSCAR:
```
TaFeRh6
1.0
3.839 0.000 0.000
0.000 5.468 -0.035
0.000 0.035 5.468
Rh Fe Ta
6 1 1
Direct
0.500 0.000 0.500 Rh
0.000 0.253 0.253 Rh
0.000 0.747 0.747 Rh
0.500 0.500 0.000 Rh
0.000 0.747 0.253 Rh
0.000 0.253 0.747 Rh
0.500 0.500 0.500 Fe
0.500 0.000 0.000 Ta
```

Computed properties:
E_tot   -8.37 eV/atom
Formation energy from the elements   -321 meV per atom
SG   P4/mmm, No. 123


Compound: TaFe2Rh
Source: the Alexandria database
Functional: GGA-PBE
Structure: relaxed

Geometry as POSCAR:
```
TaFe2Rh
1.0
4.687 -0.046 0.149
3.811 2.729 0.149
1.009 0.319 4.302
Fe Ta Rh
2 1 1
Direct
0.256 0.256 0.228 Fe
0.991 0.991 0.030 Fe
0.744 0.744 0.749 Ta
0.508 0.508 0.493 Rh
```

Computed properties:
E_tot   -9.05 eV/atom
Formation energy from the elements   -21 meV per atom
SG   Cm, No. 8


Compound: TaFeRh
Source: the Alexandria database
Functional: GGA-PBE
Structure: relaxed

Geometry as POSCAR:
```
TaFeRh
1.0
4.311 0.000 0.000
-2.155 3.733 0.000
0.000 0.000 2.748
Rh Fe Ta
1 1 1
Direct
0.667 0.333 0.333 Rh
0.000 0.000 0.976 Fe
0.333 0.667 0.692 Ta
```

Computed properties:
E_tot   -9.34 eV/atom
Formation energy from the elements   -117 meV per atom
SG   P3m1, No. 156


Compound: TaFeRh2
Source: the Alexandria database
Functional: GGA-PBE
Structure: relaxed

Geometry as POSCAR:
```
TaFeRh2
1.0
-0.810 -2.571 1.020
1.645 0.407 2.332
-5.470 3.045 3.329
Fe Ta Rh
1 1 2
Direct
0.500 0.500 0.750 Fe
0.500 0.500 0.250 Ta
0.000 0.000 0.520 Rh
0.000 0.000 0.980 Rh
```

Computed properties:
E_tot   -9.01 eV/atom
Formation energy from the elements   -258 meV per atom
SG   P4/mmm, No. 123


Compound: TaFeRh2
Source: the Alexandria database
Functional: GGA-PBE
Structure: relaxed

Geometry as POSCAR:
```
TaFeRh2
1.0
-4.712 -0.290 -0.568
-3.781 -2.881 0.119
-1.467 0.636 4.386
Rh Fe Ta
2 1 1
Direct
0.002 0.002 0.976 Rh
0.252 0.252 0.265 Rh
0.747 0.747 0.774 Fe
0.499 0.499 0.485 Ta
```

Computed properties:
E_tot   -8.96 eV/atom
Formation energy from the elements   -210 meV per atom
SG   Cm, No. 8


Compound: TaFeRh
Source: the Alexandria database
Functional: GGA-PBE
Structure: relaxed

Geometry as POSCAR:
```
TaFeRh
1.0
4.161 0.000 0.000
2.081 3.604 0.000
2.081 1.201 3.398
Fe Ta Rh
1 1 1
Direct
0.000 0.000 0.000 Fe
0.750 0.750 0.750 Ta
0.500 0.500 0.500 Rh
```

Computed properties:
E_tot   -8.89 eV/atom
Formation energy from the elements   327 meV per atom
SG   F-43m, No. 216


Compound: TaFe2Rh
Source: the Alexandria database
Functional: GGA-PBE
Structure: relaxed

Geometry as POSCAR:
```
TaFe2Rh
1.0
8.492 -0.101 -0.060
8.056 2.689 -0.060
8.056 1.260 2.377
Fe Rh Ta
2 1 1
Direct
0.254 0.254 0.254 Fe
0.994 0.994 0.994 Fe
0.503 0.503 0.503 Rh
0.748 0.748 0.748 Ta
```

Computed properties:
E_tot   -8.97 eV/atom
Formation energy from the elements   67 meV per atom
SG   R3m, No. 160


Compound: TaFeRh
Source: the Alexandria database
Functional: GGA-PBE
Structure: relaxed

Geometry as POSCAR:
```
TaFeRh
1.0
-4.138 -1.652 -1.999
-3.767 -1.788 2.543
3.034 3.792 -0.515
Ta Rh Fe
1 1 1
Direct
0.337 0.337 0.000 Ta
0.664 0.664 0.000 Rh
0.000 0.000 0.000 Fe
```

Computed properties:
E_tot   -9.45 eV/atom
Formation energy from the elements   -223 meV per atom
SG   Imm2, No. 44


Compound: TaFe2Rh
Source: the Alexandria database
Functional: GGA-PBE
Structure: relaxed

Geometry as POSCAR:
```
TaFe2Rh
1.0
-0.987 -1.460 2.562
2.940 -0.277 0.975
-0.426 5.070 2.725
Fe Ta Rh
2 1 1
Direct
0.500 0.500 0.230 Fe
0.000 0.000 0.012 Fe
0.500 0.500 0.764 Ta
0.000 0.000 0.494 Rh
```

Computed properties:
E_tot   -9.21 eV/atom
Formation energy from the elements   -176 meV per atom
SG   P4mm, No. 99


Compound: TaFeRh2
Source: the Alexandria database
Functional: GGA-PBE
Structure: relaxed

Geometry as POSCAR:
```
TaFeRh2
1.0
4.329 0.000 0.000
0.000 2.891 0.004
0.000 -0.007 4.681
Fe Ta Rh
1 1 2
Direct
0.500 0.625 0.815 Fe
0.000 0.625 0.450 Ta
0.500 0.125 0.304 Rh
0.000 0.125 0.931 Rh
```

Computed properties:
E_tot   -9.02 eV/atom
Formation energy from the elements   -265 meV per atom
SG   Pmm2, No. 25


Compound: TaFe2Rh
Source: the Alexandria database
Functional: GGA-PBE
Structure: relaxed

Geometry as POSCAR:
```
TaFe2Rh
1.0
3.608 0.000 0.000
0.000 3.608 0.000
1.804 1.804 9.302
Fe Ta Rh
4 2 2
Direct
0.125 0.625 0.250 Fe
0.875 0.875 0.750 Fe
0.375 0.375 0.750 Fe
0.625 0.125 0.250 Fe
0.000 0.000 0.000 Ta
0.750 0.250 0.500 Ta
0.250 0.750 0.500 Rh
0.500 0.500 0.000 Rh
```

Computed properties:
E_tot   -8.72 eV/atom
Formation energy from the elements   310 meV per atom
SG   I-42d, No. 122


Compound: TaFe2Rh
Source: the Alexandria database
Functional: GGA-PBE
Structure: relaxed

Geometry as POSCAR:
```
TaFe2Rh
1.0
4.979 0.004 0.003
-2.252 4.440 0.003
0.488 0.796 2.551
Fe Ta Rh
2 1 1
Direct
0.500 0.500 0.000 Fe
0.000 0.000 0.000 Fe
0.000 0.500 0.500 Ta
0.500 0.000 0.500 Rh
```

Computed properties:
E_tot   -9.07 eV/atom
Formation energy from the elements   -41 meV per atom
SG   C2/m, No. 12


Compound: TaFeRh4
Source: the Alexandria database
Functional: GGA-PBE
Structure: relaxed

Geometry as POSCAR:
```
TaFeRh4
1.0
0.000 3.584 3.584
3.584 0.000 3.584
3.584 3.584 0.000
Rh Fe Ta
4 1 1
Direct
0.375 0.375 0.375 Rh
0.375 0.876 0.375 Rh
0.375 0.375 0.876 Rh
0.876 0.375 0.375 Rh
0.000 0.000 0.000 Fe
0.750 0.750 0.750 Ta
```

Computed properties:
E_tot   -8.26 eV/atom
Formation energy from the elements   25 meV per atom
SG   F-43m, No. 216


Compound: TaFe3Rh4
Source: the Alexandria database
Functional: GGA-PBE
Structure: relaxed

Geometry as POSCAR:
```
TaFe3Rh4
1.0
-1.161 -3.314 -2.927
2.420 -3.782 3.322
-7.573 -1.107 4.257
Rh Fe Ta
8 6 2
Direct
0.500 0.755 0.000 Rh
0.124 0.243 0.750 Rh
0.876 0.243 0.250 Rh
0.876 0.757 0.250 Rh
0.124 0.757 0.750 Rh
0.500 0.245 0.500 Rh
0.500 0.245 0.000 Rh
0.500 0.755 0.500 Rh
0.612 0.500 0.750 Fe
0.000 0.000 0.000 Fe
0.360 0.000 0.250 Fe
0.000 0.000 0.500 Fe
0.388 0.500 0.250 Fe
0.640 0.000 0.750 Fe
0.000 0.500 0.000 Ta
0.000 0.500 0.500 Ta
```

Computed properties:
E_tot   -8.52 eV/atom
Formation energy from the elements   -192 meV per atom
SG   Pmma, No. 51


Compound: TaFe2Rh
Source: the Alexandria database
Functional: GGA-PBE
Structure: relaxed

Geometry as POSCAR:
```
TaFe2Rh
1.0
4.833 0.239 0.000
1.783 4.499 0.000
-3.308 -2.369 2.620
Ta Fe Rh
1 2 1
Direct
0.750 0.250 0.500 Ta
0.500 0.500 0.000 Fe
0.000 0.000 0.000 Fe
0.250 0.750 0.500 Rh
```

Computed properties:
E_tot   -9.20 eV/atom
Formation energy from the elements   -164 meV per atom
SG   I4/mmm, No. 139